Record 1
Compound: MoAu5
Source: the Alexandria database
Functional: PBE-GGA
Structure: relaxed

The structure in POSCAR format:
```
MoAu5
1.0
5.624 -1.423 0.000
5.624 1.423 0.000
-1.903 0.000 6.651
Mo Au
1 5
direct
0.000 0.000 0.000
0.287 0.287 0.051
0.333 0.333 0.664
0.607 0.607 0.733
0.665 0.665 0.319
0.949 0.949 0.386
```

The space-group type is No. 8. The value obtained for the formation energy from the elements is 0.1943 eV/atom. As for the energy: -4.342 eV per atom. The calculation puts the calculated volume at 106.46 Å³/cell.

---

Record 2
Compound: MoAu
Source: the Alexandria database
Functional: PBE-GGA
Structure: relaxed

The structure in POSCAR format:
```
MoAu
1.0
1.639 -2.226 0.000
1.639 2.226 0.000
0.000 0.000 9.297
Mo Au
2 2
direct
0.250 0.750 0.886
0.750 0.250 0.114
0.250 0.750 0.367
0.750 0.250 0.633
```

The space-group type is No. 67. The value obtained for the formation energy from the elements is 0.1590 eV/atom. As for the energy: -6.895 eV per atom. The calculation puts the calculated volume at 67.82 Å³/cell.

---

Record 3
Compound: Mo3Au5
Source: the Alexandria database
Functional: PBE-GGA
Structure: relaxed

The structure in POSCAR format:
```
Mo3Au5
1.0
8.084 0.000 0.000
-4.042 7.001 0.000
0.000 0.000 5.090
Mo Au
6 10
direct
0.000 0.423 0.250
0.000 0.577 0.750
0.423 0.000 0.250
0.423 0.423 0.750
0.577 0.000 0.750
0.577 0.577 0.250
0.000 0.214 0.750
0.000 0.786 0.250
0.214 0.000 0.750
0.214 0.214 0.250
0.333 0.667 0.000
0.333 0.667 0.500
0.667 0.333 0.000
0.667 0.333 0.500
0.786 0.000 0.250
0.786 0.786 0.750
```

The space-group type is No. 193. The value obtained for the formation energy from the elements is 0.5590 eV/atom. As for the energy: -5.551 eV per atom. The calculation puts the calculated volume at 288.00 Å³/cell.